Compound: La2TbScSe6
Source: the Alexandria database
Functional: PBE
Structure: optimized geometry

Cell lengths 6.942, 7.689, 10.297 Å; angles 90.00, 89.08, 90.00 degrees
Fractional positions:
1 La 0.041 0.897 0.253
2 La 0.541 0.603 0.753
3 La 0.959 0.103 0.747
4 La 0.459 0.397 0.247
5 Tb 0.500 0.000 0.500
6 Tb 0.000 0.500 0.000
7 Sc 0.500 0.000 0.000
8 Sc 0.000 0.500 0.500
9 Se 0.333 0.690 0.067
10 Se 0.833 0.810 0.567
11 Se 0.667 0.310 0.933
12 Se 0.167 0.190 0.433
13 Se 0.319 0.679 0.433
14 Se 0.819 0.821 0.933
15 Se 0.681 0.321 0.567
16 Se 0.181 0.179 0.067
17 Se 0.862 0.542 0.258
18 Se 0.362 0.958 0.758
19 Se 0.138 0.458 0.742
20 Se 0.638 0.042 0.242

## Properties
Total magnetic moment in μB per atom: 0.0000
VASP energy in eV/atom: -6.09
Space-group type: P2_1/c
Calculated volume in Å³/cell: 549.6